Material: MnS3F
Method: DFT, PBE with a Hubbard U
State: optimized geometry

Results
Excess energy over the best structure of this formula in the dataset (eV/atom): 0.0000
Crystal system: cubic
SG: No. 221

a b c (Å): 4.4017 4.4017 4.4017
angles (deg): 90.00 90.00 90.00
Positions (direct):
Mn: 0.0000 0.0000 0.0000
S: 0.0000 0.5000 0.5000
S: 0.5000 0.0000 0.5000
S: 0.5000 0.5000 0.0000
F: 0.5000 0.5000 0.5000